# 1
First-principles (PBE) data for an optimized crystal structure of Tm5ThSc2, as listed in Alexandria via LeMat-Bulk.

Cell: 6.9140 13.8574 4.8332 Å, 90.00 90.00 90.00°
With the nearest neighbours (Å) after each atom.
Space group Pbam (No. 55)
Symmetry-distinct sites (fractional):
1 Tm 0.0000 0.0000 0.0000  6 Tm 3.43-3.47, 2 Th 3.46, 4 Sc 3.46
2 Tm 0.0074 0.2502 0.0000  7 Tm 3.42-3.47, 4 Sc 3.44-3.47, 1 Th 3.46
3 Tm 0.2482 0.8749 0.5000  4 Sc 3.40-3.52, 6 Tm 3.42-3.46, 2 Th 3.45
4 Th 0.0000 0.5000 0.0000  4 Sc 3.39, 8 Tm 3.45-3.46
5 Sc 0.2397 0.6228 0.5000  2 Th 3.39, 10 Tm 3.40-3.52

## Properties
crystal system: orthorhombic
formation energy: 0.039 eV per atom

# 2
First-principles (PBE) data for an optimized crystal structure of TmTh2Sc3, as listed in Alexandria via LeMat-Bulk.

Cell: 3.4694 3.4694 14.0018 Å, 90.00 90.00 90.00°
With the nearest neighbours (Å) after each atom.
Space group P4/mmm (No. 123)
Symmetry-distinct sites (fractional):
1 Tm 0.0000 0.0000 0.0000  8 Sc 3.40, 4 Tm 3.47
2 Th 0.0000 0.0000 0.3325  8 Sc 3.36-3.39, 4 Th 3.47
3 Sc 0.5000 0.5000 0.1682  4 Th 3.36, 4 Tm 3.40, 4 Sc 3.47
4 Sc 0.5000 0.5000 0.5000  8 Th 3.39, 4 Sc 3.47

## Properties
crystal system: tetragonal
relative energy among the computed polymorphs: 0 meV/atom
formation energy: 0.030 eV per atom

# 3
First-principles (PBE) data for an optimized crystal structure of TmTh3Sc6, as listed in Alexandria via LeMat-Bulk.

Cell: 11.9411 15.4646 6.0110 Å, 90.00 90.00 90.00°
With the nearest neighbours (Å) after each atom.
Space group Cmc2_1 (No. 36)
Symmetry-distinct sites (fractional):
1 Tm 0.0000 0.2019 0.0000  2 Sc 2.88-3.06
2 Th 0.0000 0.4036 0.1896  7 Sc 3.21-3.41, 1 Tm 3.32
3 Th 0.1966 0.0776 0.7095  5 Sc 3.11-3.44
4 Sc 0.0000 0.0547 0.3409  1 Tm 3.06, 1 Sc 3.17, 4 Th 3.21-3.25
5 Sc 0.0000 0.2454 0.5348  1 Tm 2.88, 5 Sc 2.91-3.17, 1 Th 3.21
6 Sc 0.1333 0.4096 0.6918  3 Sc 2.98-3.18, 2 Th 3.30
7 Sc 0.2168 0.2373 0.3138  4 Sc 2.91-3.13, 1 Th 3.11, 1 Tm 3.25

## Properties
crystal system: orthorhombic
relative energy among the computed polymorphs: 176 meV/atom
formation energy: 0.224 eV per atom

# 4
First-principles (PBE) data for an optimized crystal structure of TmTh6Sc6, as listed in Alexandria via LeMat-Bulk.

Cell: 6.2363 10.8535 11.1619 Å, 90.00 90.00 90.00°
With the nearest neighbours (Å) after each atom.
Space group Cmmm (No. 65)
Symmetry-distinct sites (fractional):
1 Tm 0.0000 0.0000 0.0000  6 Th 3.47-3.68
2 Th 0.0000 0.0000 0.3581  1 Th 3.17, 6 Sc 3.39
3 Th 0.0000 0.3198 0.0000  6 Sc 3.21-3.30, 2 Th 3.47, 1 Tm 3.47
4 Th 0.0000 0.3349 0.5000  6 Sc 3.40-3.43, 3 Th 3.58-3.62
5 Sc 0.0000 0.5000 0.2379  4 Sc 3.13, 6 Th 3.30-3.43
6 Sc 0.2500 0.2500 0.2420  4 Sc 3.12-3.13, 6 Th 3.21-3.40

## Properties
crystal system: orthorhombic
formation energy: 0.241 eV per atom

# 5
First-principles (PBE) data for an optimized crystal structure of TmTh4Sc5, as listed in Alexandria via LeMat-Bulk.

Cell: 3.4565 3.4565 23.6395 Å, 90.00 90.00 90.00°
With the nearest neighbours (Å) after each atom.
Space group P4/mmm (No. 123)
Symmetry-distinct sites (fractional):
1 Tm 0.0000 0.0000 0.0000  8 Sc 3.40, 4 Tm 3.46
2 Th 0.0000 0.0000 0.1987  8 Sc 3.38-3.41, 4 Th 3.46
3 Th 0.0000 0.0000 0.3995  8 Sc 3.41, 4 Th 3.46
4 Sc 0.5000 0.5000 0.1001  4 Th 3.38, 4 Tm 3.40, 4 Sc 3.46
5 Sc 0.5000 0.5000 0.2990  8 Th 3.41, 4 Sc 3.46
6 Sc 0.5000 0.5000 0.5000  8 Th 3.41, 4 Sc 3.46

## Properties
crystal system: tetragonal
formation energy: 0.031 eV per atom

# 6
First-principles (PBE) data for an optimized crystal structure of TmTh14Sc, as listed in Alexandria via LeMat-Bulk.

Cell: 11.5082 7.1442 12.3568 Å, 90.00 90.00 90.00°
With the nearest neighbours (Å) after each atom.
Space group Amm2 (No. 38)
Symmetry-distinct sites (fractional):
1 Tm 0.0000 0.0000 0.0000  10 Th 3.51-3.63, 2 Sc 3.57
2 Th 0.0000 0.2486 0.7550  2 Tm 3.51-3.63, 2 Sc 3.52-3.62, 8 Th 3.52-3.59
3 Th 0.2468 0.2489 0.5848  1 Sc 3.51, 1 Tm 3.52, 10 Th 3.53-3.59
4 Th 0.2485 0.0000 0.3363  1 Sc 3.50, 11 Th 3.52-3.59
5 Th 0.2508 0.0000 0.8356  1 Tm 3.53, 11 Th 3.53-3.57
6 Th 0.5000 0.0000 0.1674  12 Th 3.56-3.57
7 Th 0.5000 0.0000 0.6669  12 Th 3.55-3.58
8 Th 0.5000 0.2497 0.4180  12 Th 3.53-3.58
9 Sc 0.0000 0.0000 0.4997  10 Th 3.50-3.62, 2 Tm 3.57

## Properties
crystal system: orthorhombic
formation energy: 0.035 eV per atom

# 7
First-principles (PBE) data for an optimized crystal structure of TmTh2Sc8, as listed in Alexandria via LeMat-Bulk.

Cell: 17.9842 6.5483 5.1705 Å, 90.00 92.79 90.00°
With the nearest neighbours (Å) after each atom.
Space group C2/m (No. 12)
Symmetry-distinct sites (fractional):
1 Tm 0.0000 0.0000 0.0000  10 Sc 3.25-3.57
2 Th 0.2184 0.5000 0.2559  9 Sc 3.10-3.37
3 Sc 0.0457 0.5000 0.2341  1 Sc 2.86, 1 Th 3.10
4 Sc 0.1264 0.2680 0.7266  4 Sc 3.04-3.28, 1 Tm 3.25, 2 Th 3.29-3.37
5 Sc 0.1776 0.0000 0.2290  4 Th 3.18-3.36, 4 Sc 3.23-3.28, 1 Tm 3.35

## Properties
crystal system: monoclinic
relative energy among the computed polymorphs: 149 meV/atom
formation energy: 0.186 eV per atom

# 8
First-principles (PBE) data for an optimized crystal structure of Tm3Th5Sc, as listed in Alexandria via LeMat-Bulk.

Cell: 9.1582 9.1582 13.8449 Å, 90.00 90.00 90.00°
With the nearest neighbours (Å) after each atom.
Space group I4/mcm (No. 140)
Symmetry-distinct sites (fractional):
1 Tm 0.0000 0.0000 0.2500  10 Th 3.46-3.68
2 Tm 0.1054 0.3946 0.0000  1 Tm 2.73
3 Th 0.0000 0.0000 0.0000  6 Tm 3.46-3.74, 8 Th 3.76
4 Th 0.2037 0.2963 0.3694  1 Tm 3.06, 1 Sc 3.11
5 Sc 0.0000 0.5000 0.2500  4 Th 3.11

## Properties
crystal system: tetragonal
formation energy: 0.449 eV per atom

# 9
First-principles (PBE) data for an optimized crystal structure of TmThSc3, as listed in Alexandria via LeMat-Bulk.

Cell: 5.9387 5.3898 8.9981 Å, 90.00 108.71 90.00°
With the nearest neighbours (Å) after each atom.
Space group P2_1/m (No. 11)
Symmetry-distinct sites (fractional):
1 Tm 0.0350 0.2500 0.3954  8 Sc 3.34-3.48, 2 Th 3.38-3.46, 2 Tm 3.39
2 Th 0.4311 0.2500 0.1969  10 Sc 3.32-3.48, 2 Tm 3.38-3.46
3 Sc 0.1593 0.7500 0.0057  7 Sc 3.28-3.47, 4 Th 3.32-3.48, 1 Tm 3.42
4 Sc 0.2331 0.2500 0.8016  6 Sc 3.32-3.48, 3 Tm 3.34-3.46, 3 Th 3.35-3.37
5 Sc 0.3745 0.7500 0.4019  5 Sc 3.30-3.48, 3 Th 3.34-3.42, 4 Tm 3.35-3.48

## Properties
crystal system: monoclinic
relative energy among the computed polymorphs: 0 meV/atom
formation energy: 0.039 eV per atom

# 10
First-principles (PBE) data for an optimized crystal structure of Tm2Th2Sc7, as listed in Alexandria via LeMat-Bulk.

Cell: 10.5513 10.7259 5.8135 Å, 90.00 113.62 90.00°
With the nearest neighbours (Å) after each atom.
Space group C2/m (No. 12)
Symmetry-distinct sites (fractional):
1 Tm 0.0000 0.2059 0.0000  6 Sc 3.13-3.27
2 Th 0.1011 0.5000 0.3195  7 Sc 3.25-3.50, 2 Th 3.46-3.54, 2 Tm 3.60
3 Sc 0.0000 0.0000 0.5000  6 Sc 3.06-3.28
4 Sc 0.1714 0.2388 0.6710  5 Sc 3.06-3.36, 2 Tm 3.13-3.27, 1 Th 3.37
5 Sc 0.2422 0.0000 0.0721  5 Sc 3.13-3.34, 3 Th 3.25-3.47, 2 Tm 3.27

## Properties
crystal system: monoclinic
relative energy among the computed polymorphs: 20 meV/atom
formation energy: 0.163 eV per atom

# 11
First-principles (PBE) data for an optimized crystal structure of Tm5Th2Sc2, as listed in Alexandria via LeMat-Bulk.

Cell: 15.8746 5.9981 11.4078 Å, 90.00 90.00 90.00°
With the nearest neighbours (Å) after each atom.
Space group Ima2 (No. 46)
Symmetry-distinct sites (fractional):
1 Tm 0.0523 0.2493 0.0000  6 Tm 3.14-3.43, 2 Th 3.32-3.33, 2 Sc 3.36-3.37
2 Tm 0.1483 0.7485 0.0021  6 Tm 3.18-3.41, 2 Sc 3.37-3.38, 2 Th 3.49-3.51
3 Tm 0.2500 0.2488 0.0024  6 Tm 3.14-3.41, 2 Th 3.35-3.36
4 Th 0.0000 0.0000 0.7501  4 Tm 3.32-3.33, 2 Sc 3.46
5 Th 0.2500 0.5455 0.2517  6 Tm 3.35-3.51, 4 Sc 3.49-3.52
6 Sc 0.1355 0.0485 0.2508  6 Tm 3.36-3.61, 3 Th 3.46-3.52, 1 Sc 3.63

## Properties
crystal system: orthorhombic
relative energy among the computed polymorphs: 13 meV/atom
formation energy: 0.225 eV per atom

# 12
First-principles (PBE) data for an optimized crystal structure of TmTh4Sc7, as listed in Alexandria via LeMat-Bulk.

Cell: 11.4073 5.5569 11.9937 Å, 90.00 116.41 90.00°
With the nearest neighbours (Å) after each atom.
Space group C2/m (No. 12)
Symmetry-distinct sites (fractional):
1 Tm 0.0000 0.0000 0.0000  4 Sc 2.78-3.03
2 Th 0.0925 0.5000 0.2934  3 Sc 3.10-3.22, 1 Th 3.40
3 Th 0.1467 0.0000 0.7724  7 Sc 3.18-3.35, 1 Th 3.40
4 Sc 0.0000 0.5000 0.0000  2 Tm 2.78, 2 Sc 2.96
5 Sc 0.1285 0.0000 0.4870  4 Sc 3.08-3.20, 3 Th 3.10-3.34
6 Sc 0.1647 0.5000 0.6261  4 Sc 3.17-3.29, 3 Th 3.34-3.47
7 Sc 0.2073 0.5000 0.9158  2 Sc 2.96-3.29, 1 Tm 3.03, 3 Th 3.18-3.22

## Properties
crystal system: monoclinic
formation energy: 0.279 eV per atom

# 13
First-principles (PBE) data for an optimized crystal structure of TmThSc, as listed in Alexandria via LeMat-Bulk.

Cell: 5.5042 5.5042 6.6599 Å, 90.00 90.00 120.00°
With the nearest neighbours (Å) after each atom.
Space group P6/mmm (No. 191)
Symmetry-distinct sites (fractional):
1 Tm 0.3333 0.6667 0.0000  3 Tm 3.18, 2 Th 3.33
2 Th 0.3333 0.6667 0.5000  3 Th 3.18, 2 Tm 3.33
3 Sc 0.0000 0.0000 0.2551  2 Sc 3.26-3.40, 6 Th 3.57, 6 Tm 3.60

## Properties
crystal system: hexagonal
relative energy among the computed polymorphs: 61 meV/atom
formation energy: 0.096 eV per atom

# 14
First-principles (PBE) data for an optimized crystal structure of Tm3Th3Sc8, as listed in Alexandria via LeMat-Bulk.

Cell: 5.1880 9.9617 15.4003 Å, 90.00 90.00 90.00°
With the nearest neighbours (Å) after each atom.
Space group Immm (No. 71)
Symmetry-distinct sites (fractional):
1 Tm 0.0000 0.0000 0.0000  4 Sc 3.31
2 Tm 0.0000 0.0000 0.3132  12 Sc 3.50-3.81, 4 Th 3.67-3.87
3 Th 0.0000 0.2283 0.5000  6 Sc 3.11-3.30, 2 Th 3.45
4 Th 0.0000 0.5000 0.0000  4 Sc 3.13, 4 Th 3.45
5 Sc 0.0000 0.2613 0.1325  3 Sc 2.94, 1 Th 3.13
6 Sc 0.0000 0.3518 0.3143  4 Sc 2.94-2.95, 1 Th 3.11

## Properties
crystal system: orthorhombic
formation energy: 0.290 eV per atom

# 15
First-principles (PBE) data for an optimized crystal structure of TmThSc2, as listed in Alexandria via LeMat-Bulk.

Cell: 4.9397 4.9397 4.5427 Å, 90.00 90.00 90.00°
With the nearest neighbours (Å) after each atom.
Space group P4/mmm (No. 123)
Symmetry-distinct sites (fractional):
1 Tm 0.0000 0.0000 0.0000  8 Sc 3.36, 4 Th 3.49
2 Th 0.5000 0.5000 0.0000  8 Sc 3.36, 4 Tm 3.49
3 Sc 0.0000 0.5000 0.5000  4 Th 3.36, 4 Tm 3.36, 4 Sc 3.49

## Properties
crystal system: tetragonal
relative energy among the computed polymorphs: 24 meV/atom
formation energy: 0.032 eV per atom

# 16
First-principles (PBE) data for an optimized crystal structure of Tm2ThSc8, as listed in Alexandria via LeMat-Bulk.

Cell: 5.4203 6.8062 16.0763 Å, 90.00 90.00 90.00°
With the nearest neighbours (Å) after each atom.
Space group Immm (No. 71)
Symmetry-distinct sites (fractional):
1 Tm 0.0000 0.0000 0.1895  12 Sc 3.21-3.44
2 Th 0.0000 0.5000 0.0000  6 Sc 3.26-3.65
3 Sc 0.0000 0.2234 0.3712  6 Sc 3.04-3.33, 1 Tm 3.29
4 Sc 0.0000 0.5000 0.2030  4 Tm 3.21-3.41, 1 Th 3.26, 6 Sc 3.30-3.33
5 Sc 0.2423 0.0000 0.0000  2 Sc 2.63-2.79

## Properties
crystal system: orthorhombic
formation energy: 0.150 eV per atom

# 17
First-principles (PBE) data for an optimized crystal structure of Tm2Th2Sc3, as listed in Alexandria via LeMat-Bulk.

Cell: 14.9136 3.4764 8.2554 Å, 90.00 112.24 90.00°
With the nearest neighbours (Å) after each atom.
Space group C2/m (No. 12)
Symmetry-distinct sites (fractional):
1 Tm 0.0763 0.0000 0.2230  5 Sc 3.30-3.40, 4 Th 3.46-3.47, 3 Tm 3.48-3.52
2 Th 0.1414 0.5000 0.9220  4 Sc 3.32-3.41, 4 Tm 3.46-3.47, 4 Th 3.47-3.48
3 Sc 0.0000 0.5000 0.5000  2 Th 3.32, 4 Tm 3.39, 6 Sc 3.40-3.48
4 Sc 0.2120 0.0000 0.6448  3 Tm 3.30-3.40, 3 Th 3.34-3.41, 6 Sc 3.40-3.48

## Properties
crystal system: monoclinic
relative energy among the computed polymorphs: 5 meV/atom
formation energy: 0.047 eV per atom

# 18
First-principles (PBE) data for an optimized crystal structure of Tm2ThSc7, as listed in Alexandria via LeMat-Bulk.

Cell: 6.1374 6.2071 7.5834 Å, 78.69 71.47 87.13°
With the nearest neighbours (Å) after each atom.
Space group P-1 (No. 2)
Symmetry-distinct sites (fractional):
1 Tm 0.0995 0.2624 0.4566  2 Tm 3.24-3.40, 8 Sc 3.32-3.63
2 Th 0.0000 0.5000 0.0000  6 Sc 3.07-3.42
3 Sc 0.2181 0.9891 0.0974  8 Sc 3.17-3.52, 2 Tm 3.35-3.42, 1 Th 3.42
4 Sc 0.3486 0.8622 0.6910  6 Sc 3.07-3.35, 1 Th 3.22, 2 Tm 3.32-3.36
5 Sc 0.4846 0.3358 0.6771  4 Sc 2.86-3.12
6 Sc 0.5000 0.5000 0.0000  2 Sc 2.86, 2 Th 3.07

## Properties
crystal system: triclinic
relative energy among the computed polymorphs: 0 meV/atom
formation energy: 0.133 eV per atom

# 19
First-principles (PBE) data for an optimized crystal structure of TmTh6Sc3, as listed in Alexandria via LeMat-Bulk.

Cell: 9.5367 20.2695 6.2512 Å, 90.00 90.00 90.00°
With the nearest neighbours (Å) after each atom.
Space group Cmc2_1 (No. 36)
Symmetry-distinct sites (fractional):
1 Tm 0.0000 0.1489 0.0000  9 Th 3.32-3.71, 4 Sc 3.52-3.64
2 Th 0.0000 0.0031 0.7516  4 Th 3.13-3.50, 4 Sc 3.31-3.32, 2 Tm 3.34-3.46
3 Th 0.0000 0.2983 0.7810  1 Sc 3.05, 1 Tm 3.32
4 Th 0.1702 0.2776 0.2947  2 Sc 3.21-3.43, 3 Th 3.25-3.50, 1 Tm 3.58
5 Th 0.1876 0.4435 0.5308  3 Sc 3.30-3.44, 4 Th 3.50-3.68, 1 Tm 3.52
6 Sc 0.0000 0.4199 0.0672  3 Th 3.05-3.30, 2 Sc 3.26
7 Sc 0.1721 0.1192 0.4888  5 Th 3.21-3.43, 2 Sc 3.26-3.28, 1 Tm 3.52

## Properties
crystal system: orthorhombic
formation energy: 0.159 eV per atom

# 20
First-principles (PBE) data for an optimized crystal structure of Tm3ThSc4, as listed in Alexandria via LeMat-Bulk.

Cell: 10.8297 6.8778 5.9454 Å, 90.00 90.00 90.00°
With the nearest neighbours (Å) after each atom.
Space group Pmn2_1 (No. 31)
Symmetry-distinct sites (fractional):
1 Tm 0.0000 0.1305 0.0000  6 Sc 3.33-3.52, 4 Tm 3.39, 2 Th 3.47-3.51
2 Tm 0.2488 0.1317 0.3466  6 Sc 3.34-3.52, 4 Tm 3.39-3.48, 2 Th 3.40
3 Th 0.0000 0.8638 0.5040  6 Sc 3.31-3.57, 6 Tm 3.40-3.51
4 Sc 0.0000 0.3823 0.5080  2 Th 3.31-3.57, 6 Sc 3.32-3.42, 4 Tm 3.34-3.48
5 Sc 0.0000 0.6189 0.0136  6 Sc 3.31-3.42, 4 Tm 3.36-3.52, 2 Th 3.37-3.47
6 Sc 0.2486 0.3805 0.8438  6 Sc 3.31-3.40, 5 Tm 3.33-3.52, 1 Th 3.34

## Properties
crystal system: orthorhombic
relative energy among the computed polymorphs: 0 meV/atom
formation energy: 0.027 eV per atom